The following is a DFT calculation (GGA-PBE) of HgTePdN2 after structural relaxation.

Lattice parameters (Å, degrees): 4.0062 5.6127 4.0062 90.00 90.00 90.00
With the nearest neighbours (Å) after each atom.
Sites, in units of the cell vectors:
Te 0.0000 0.0000 0.0000  4 N 2.00
Hg 0.5000 0.5000 0.5000  4 Pd 2.83
Pd 0.0000 0.5000 0.0000  2 Te 2.81, 4 Hg 2.83
N 0.0000 0.0000 0.5000  2 Te 2.00
N 0.5000 0.0000 0.0000  2 Te 2.00

## Properties
Space-group type: P4/mmm (123)
Total magnetic moment (μB/atom): 0.0090
Energy above the most stable polymorph in this dataset (eV per atom): 0.022

The following is a DFT calculation (GGA-PBE) of HgTe2PdN after structural relaxation.

Lattice parameters (Å, degrees): 5.7449 5.7449 3.9493 90.00 90.00 90.00
With the nearest neighbours (Å) after each atom.
Sites, in units of the cell vectors:
Te 0.0000 0.5000 0.0000  2 Hg 2.87
Te 0.5000 0.0000 0.0000  2 Hg 2.87
Hg 0.0000 0.0000 0.0000  2 N 1.97
Pd 0.5000 0.5000 0.5000  8 Te 3.49
N 0.0000 0.0000 0.5000  2 Hg 1.97

## Properties
Space-group type: P4/mmm (123)
Total magnetic moment (μB/atom): 0.3239
Energy above the most stable polymorph in this dataset (eV per atom): 0.705

The following is a DFT calculation (GGA-PBE) of VHg2PdN after structural relaxation.

Lattice parameters (Å, degrees): 5.1570 4.5557 5.1570 90.00 90.00 90.00
With the nearest neighbours (Å) after each atom.
Sites, in units of the cell vectors:
N 0.5000 0.5000 0.5000  8 Hg 3.44, 4 Pd 3.65
Hg 0.0000 0.0000 0.5000  2 V 2.58
Hg 0.5000 0.0000 0.0000  2 V 2.58
Pd 0.0000 0.5000 0.0000  2 V 2.28
V 0.0000 0.0000 0.0000  2 Pd 2.28

## Properties
Space-group type: P4/mmm (123)
Total magnetic moment (μB/atom): 0.0019

The following is a DFT calculation (GGA-PBE) of Pm6Hg2N after structural relaxation.

Lattice parameters (Å, degrees): 7.0282 7.0282 11.5253 90.00 90.00 90.00
With the nearest neighbours (Å) after each atom.
Sites, in units of the cell vectors:
Pm 0.3092 0.3092 0.3481  1 N 2.58
Pm 0.6908 0.6908 0.3481  1 N 2.58
Pm 0.1908 0.8092 0.8481  1 N 2.58
Pm 0.8092 0.1908 0.8481  1 N 2.58
Pm 0.1908 0.8092 0.1519  1 N 2.58
Pm 0.8092 0.1908 0.1519  1 N 2.58
Pm 0.3092 0.3092 0.6519  1 N 2.58
Pm 0.6908 0.6908 0.6519  1 N 2.58
Pm 0.2378 0.2378 0.0000  1 N 2.36
Pm 0.7622 0.7622 0.0000  1 N 2.36
Pm 0.2622 0.7378 0.5000  1 N 2.36
Pm 0.7378 0.2622 0.5000  1 N 2.36
Hg 0.0000 0.0000 0.3624  6 Pm 3.05-3.08, 1 Hg 3.17
Hg 0.5000 0.5000 0.8624  6 Pm 3.05-3.08, 1 Hg 3.17
Hg 0.5000 0.5000 0.1376  6 Pm 3.05-3.08, 1 Hg 3.17
Hg 0.0000 0.0000 0.6376  6 Pm 3.05-3.08, 1 Hg 3.17
N 0.0000 0.0000 0.0000  6 Pm 2.36-2.58
N 0.5000 0.5000 0.5000  6 Pm 2.36-2.58

## Properties
Space-group type: P4_2/mnm (136)
Total magnetic moment (μB/atom): 0.0000

The records above yield E_tot values of -3.74 -2.70 -2.68 -4.45 eV per atom, respectively.